Entry 1:
# YSn2AsF GGA-PBE optimized geometry
# - formation energy without anion corrections (eV/atom) = 0.15
data_YSn2AsF
_chemical_formula_sum 'Y1 Sn2 As1 F1'
_cell_length_a 5.940
_cell_length_b 5.940
_cell_length_c 5.291
_cell_angle_alpha 90.00
_cell_angle_beta 90.00
_cell_angle_gamma 90.00
_symmetry_space_group_name_H-M 'P 4/m m m'
_symmetry_Int_Tables_number 123
_symmetry_space_group_name_Hall '-P 4 2'
loop_
_atom_site_label
_atom_site_type_symbol
_atom_site_fract_x
_atom_site_fract_y
_atom_site_fract_z
Y1 Y 0.000 0.000 0.000
Sn1 Sn 0.000 0.500 0.000
As1 As 0.000 0.000 0.500
F1 F 0.500 0.500 0.500


Entry 2:
# BiPS2N GGA-PBE optimized geometry
# - formation energy without anion corrections (eV/atom) = 0.84
data_BiPS2N
_chemical_formula_sum 'Bi1 P1 S2 N1'
_cell_length_a 4.445
_cell_length_b 4.445
_cell_length_c 4.138
_cell_angle_alpha 90.00
_cell_angle_beta 90.00
_cell_angle_gamma 90.00
_symmetry_space_group_name_H-M 'P 4/m m m'
_symmetry_Int_Tables_number 123
_symmetry_space_group_name_Hall '-P 4 2'
loop_
_atom_site_label
_atom_site_type_symbol
_atom_site_fract_x
_atom_site_fract_y
_atom_site_fract_z
Bi1 Bi 0.000 0.000 0.000
P1 P 0.500 0.500 0.000
S1 S 0.000 0.500 0.500
N1 N 0.500 0.500 0.500


Entry 3:
# Zr2SnB2Ru5 GGA-PBE optimized geometry
# - energy relative to the elements (kJ per mole of atoms) = -57
data_Zr2SnB2Ru5
_chemical_formula_sum 'Zr4 Sn2 B4 Ru10'
_cell_length_a 9.559
_cell_length_b 9.559
_cell_length_c 3.119
_cell_angle_alpha 90.00
_cell_angle_beta 90.00
_cell_angle_gamma 90.00
_symmetry_space_group_name_H-M 'P 4/m b m'
_symmetry_Int_Tables_number 127
_symmetry_space_group_name_Hall '-P 4 2ab'
loop_
_atom_site_label
_atom_site_type_symbol
_atom_site_fract_x
_atom_site_fract_y
_atom_site_fract_z
Zr1 Zr 0.176 0.324 0.000
Sn1 Sn 0.000 0.000 0.000
B1 B 0.121 0.621 0.000
Ru1 Ru 0.000 0.500 0.500
Ru2 Ru 0.071 0.778 0.500


Entry 4:
# As2Pd7Au GGA-PBE optimized geometry
# - energy relative to the elements (kJ per mole of atoms) = -2
data_As2Pd7Au
_chemical_formula_sum 'As4 Pd14 Au2'
_cell_length_a 7.387
_cell_length_b 12.208
_cell_length_c 4.314
_cell_angle_alpha 90.00
_cell_angle_beta 90.00
_cell_angle_gamma 90.00
_symmetry_space_group_name_H-M 'C m m m'
_symmetry_Int_Tables_number 65
_symmetry_space_group_name_Hall '-C 2 2'
loop_
_atom_site_label
_atom_site_type_symbol
_atom_site_fract_x
_atom_site_fract_y
_atom_site_fract_z
As1 As 0.000 0.195 0.000
Pd1 Pd 0.000 0.000 0.000
Pd2 Pd 0.000 0.277 0.500
Pd3 Pd 0.188 0.379 0.000
Au1 Au 0.000 0.500 0.500


Entry 5:
# MnAuSe2 GGA-PBE optimized geometry
# - formation energy without anion corrections (eV/atom) = 0.15
data_MnAuSe2
_chemical_formula_sum 'Mn1 Au1 Se2'
_cell_length_a 2.9058
_cell_length_b 2.9058
_cell_length_c 11.2385
_cell_angle_alpha 90.00
_cell_angle_beta 90.00
_cell_angle_gamma 120.00
_symmetry_space_group_name_H-M 'P 3 m 1'
_symmetry_Int_Tables_number 156
loop_
_symmetry_equiv_pos_as_xyz
'x,y,z'
'-y,x-y,z'
'-x+y,-x,z'
'-y,-x,z'
'-x+y,y,z'
'x,x-y,z'
loop_
_atom_site_label
_atom_site_type_symbol
_atom_site_fract_x
_atom_site_fract_y
_atom_site_fract_z
Mn1 Mn 0.0000 0.0000 0.0000
Au1 Au 0.6667 0.3333 0.5363
Se1 Se 0.0000 0.0000 0.2098
Se2 Se 0.3333 0.6667 0.8598


Entry 6:
# FeCoW2 GGA-PBE optimized geometry
# - energy relative to the elements (kJ per mole of atoms) = 11
data_FeCoW2
_chemical_formula_sum 'Fe1 Co1 W2'
_cell_length_a 2.697
_cell_length_b 4.300
_cell_length_c 4.595
_cell_angle_alpha 90.00
_cell_angle_beta 95.06
_cell_angle_gamma 90.00
_symmetry_space_group_name_H-M 'P 1 m 1'
_symmetry_Int_Tables_number 6
loop_
_symmetry_equiv_pos_as_xyz
'x,y,z'
'x,-y,z'
loop_
_atom_site_label
_atom_site_type_symbol
_atom_site_fract_x
_atom_site_fract_y
_atom_site_fract_z
Fe1 Fe 0.000 0.000 0.000
Co1 Co 0.015 0.500 0.662
W1 W 0.417 0.000 0.508
W2 W 0.609 0.500 0.150


Entry 7:
# ZrFe3Au GGA-PBE optimized geometry
# - energy relative to the elements (kJ per mole of atoms) = 143
data_ZrFe3Au
_chemical_formula_sum 'Zr1 Fe3 Au1'
_cell_length_a 4.545
_cell_length_b 4.545
_cell_length_c 4.545
_cell_angle_alpha 90.00
_cell_angle_beta 90.00
_cell_angle_gamma 90.00
_symmetry_space_group_name_H-M 'P m -3 m'
_symmetry_Int_Tables_number 221
_symmetry_space_group_name_Hall '-P 4 2 3'
loop_
_atom_site_label
_atom_site_type_symbol
_atom_site_fract_x
_atom_site_fract_y
_atom_site_fract_z
Zr1 Zr 0.000 0.000 0.000
Fe1 Fe 0.000 0.000 0.500
Au1 Au 0.500 0.500 0.500


Entry 8:
# Tc2TePt GGA-PBE optimized geometry
# - formation energy without anion corrections (eV/atom) = 0.86
data_Tc2TePt
_chemical_formula_sum 'Tc8 Te4 Pt4'
_cell_length_a 5.802
_cell_length_b 5.802
_cell_length_c 11.580
_cell_angle_alpha 90.00
_cell_angle_beta 90.00
_cell_angle_gamma 90.00
_symmetry_space_group_name_H-M 'I -4 2 d'
_symmetry_Int_Tables_number 122
_symmetry_space_group_name_Hall 'I -4 2bw'
loop_
_atom_site_label
_atom_site_type_symbol
_atom_site_fract_x
_atom_site_fract_y
_atom_site_fract_z
Tc1 Tc 0.225 0.250 0.125
Te1 Te 0.000 0.000 0.500
Pt1 Pt 0.000 0.000 0.000


Entry 9:
Density functional theory data (GGA-PBE) for an optimized crystal structure of Sr6Tl3H.

The structure in CIF format:
```
data_Sr6Tl3H
_chemical_formula_sum 'Sr24 Tl12 H4'
_cell_length_a 12.600
_cell_length_b 19.028
_cell_length_c 5.982
_cell_angle_alpha 90.00
_cell_angle_beta 90.00
_cell_angle_gamma 90.00
_symmetry_space_group_name_H-M 'C m c 21'
_symmetry_Int_Tables_number 36
loop_
_symmetry_equiv_pos_as_xyz
'x,y,z'
'-x,-y,z+1/2'
'-x,y,z'
'x,-y,z+1/2'
'x+1/2,y+1/2,z'
'-x+1/2,-y+1/2,z+1/2'
'-x+1/2,y+1/2,z'
'x+1/2,-y+1/2,z+1/2'
loop_
_atom_site_label
_atom_site_type_symbol
_atom_site_fract_x
_atom_site_fract_y
_atom_site_fract_z
Sr1 Sr 0.000 0.077 0.000
Sr2 Sr 0.000 0.214 0.518
Sr3 Sr 0.162 0.281 0.001
Sr4 Sr 0.165 0.425 0.499
Tl1 Tl 0.000 0.425 0.998
Tl2 Tl 0.171 0.076 0.498
H1 H 0.000 0.209 0.948
```


Entry 10:
# TlAgSe2 GGA-PBE optimized geometry
# - formation energy without anion corrections (eV/atom) = 0.08
data_TlAgSe2
_chemical_formula_sum 'Tl1 Ag1 Se2'
_cell_length_a 3.209
_cell_length_b 3.209
_cell_length_c 9.171
_cell_angle_alpha 90.00
_cell_angle_beta 90.00
_cell_angle_gamma 90.00
_symmetry_space_group_name_H-M 'P 4/m m m'
_symmetry_Int_Tables_number 123
_symmetry_space_group_name_Hall '-P 4 2'
loop_
_atom_site_label
_atom_site_type_symbol
_atom_site_fract_x
_atom_site_fract_y
_atom_site_fract_z
Tl1 Tl 0.000 0.000 0.000
Ag1 Ag 0.000 0.000 0.500
Se1 Se 0.500 0.500 0.290


Entry 11:
# V6CoOs2 GGA-PBE optimized geometry
# - energy relative to the elements (kJ per mole of atoms) = 31
data_V6CoOs2
_chemical_formula_sum 'V12 Co2 Os4'
_cell_length_a 4.197
_cell_length_b 5.797
_cell_length_c 11.654
_cell_angle_alpha 90.00
_cell_angle_beta 90.00
_cell_angle_gamma 90.00
_symmetry_space_group_name_H-M 'I m m m'
_symmetry_Int_Tables_number 71
_symmetry_space_group_name_Hall '-I 2 2'
loop_
_atom_site_label
_atom_site_type_symbol
_atom_site_fract_x
_atom_site_fract_y
_atom_site_fract_z
V1 V 0.000 0.227 0.000
V2 V 0.000 0.244 0.339
Co1 Co 0.000 0.500 0.500
Os1 Os 0.000 0.500 0.166


Entry 12:
# Nd2DyTl9 GGA-PBE optimized geometry
# - energy relative to the elements (kJ per mole of atoms) = -28
data_Nd2DyTl9
_chemical_formula_sum 'Nd2 Dy1 Tl9'
_cell_length_a 4.814
_cell_length_b 4.814
_cell_length_c 14.434
_cell_angle_alpha 90.00
_cell_angle_beta 90.00
_cell_angle_gamma 90.00
_symmetry_space_group_name_H-M 'P 4/m m m'
_symmetry_Int_Tables_number 123
_symmetry_space_group_name_Hall '-P 4 2'
loop_
_atom_site_label
_atom_site_type_symbol
_atom_site_fract_x
_atom_site_fract_y
_atom_site_fract_z
Nd1 Nd 0.000 0.000 0.168
Dy1 Dy 0.000 0.000 0.500
Tl1 Tl 0.000 0.500 0.000
Tl2 Tl 0.000 0.500 0.337
Tl3 Tl 0.500 0.500 0.168
Tl4 Tl 0.500 0.500 0.500


Entry 13:
Density functional theory data (GGA-PBE) for an optimized crystal structure of Mg2H2Pd.

The structure in CIF format:
```
data_Mg2H2Pd
_chemical_formula_sum 'Mg4 H4 Pd2'
_cell_length_a 3.195
_cell_length_b 3.195
_cell_length_c 11.424
_cell_angle_alpha 90.00
_cell_angle_beta 90.00
_cell_angle_gamma 90.00
_symmetry_space_group_name_H-M 'I 4/m m m'
_symmetry_Int_Tables_number 139
_symmetry_space_group_name_Hall '-I 4 2'
loop_
_atom_site_label
_atom_site_type_symbol
_atom_site_fract_x
_atom_site_fract_y
_atom_site_fract_z
Mg1 Mg 0.000 0.000 0.148
H1 H 0.000 0.500 0.250
Pd1 Pd 0.000 0.000 0.500
```


Entry 14:
# PaTlN2 GGA-PBE optimized geometry
# - formation energy without anion corrections (eV/atom) = -0.45
data_PaTlN2
_chemical_formula_sum 'Pa1 Tl1 N2'
_cell_length_a 3.261
_cell_length_b 3.261
_cell_length_c 8.316
_cell_angle_alpha 90.00
_cell_angle_beta 90.00
_cell_angle_gamma 90.00
_symmetry_space_group_name_H-M 'P 4/m m m'
_symmetry_Int_Tables_number 123
_symmetry_space_group_name_Hall '-P 4 2'
loop_
_atom_site_label
_atom_site_type_symbol
_atom_site_fract_x
_atom_site_fract_y
_atom_site_fract_z
Pa1 Pa 0.000 0.000 0.000
Tl1 Tl 0.000 0.000 0.500
N1 N 0.500 0.500 0.088


Entry 15:
# MnFe2Ni5 GGA-PBE optimized geometry
# - energy relative to the elements (kJ per mole of atoms) = 5
data_MnFe2Ni5
_chemical_formula_sum 'Mn2 Fe4 Ni10'
_cell_length_a 2.492
_cell_length_b 7.768
_cell_length_c 9.546
_cell_angle_alpha 90.00
_cell_angle_beta 90.00
_cell_angle_gamma 90.00
_symmetry_space_group_name_H-M 'I m m m'
_symmetry_Int_Tables_number 71
_symmetry_space_group_name_Hall '-I 2 2'
loop_
_atom_site_label
_atom_site_type_symbol
_atom_site_fract_x
_atom_site_fract_y
_atom_site_fract_z
Mn1 Mn 0.000 0.000 0.000
Fe1 Fe 0.000 0.500 0.254
Ni1 Ni 0.000 0.235 0.373
Ni2 Ni 0.000 0.500 0.000


Entry 16:
# Ru2WBr GGA-PBE optimized geometry
# - formation energy without anion corrections (eV/atom) = 0.71
data_Ru2WBr
_chemical_formula_sum 'Ru2 W1 Br1'
_cell_length_a 2.947
_cell_length_b 2.947
_cell_length_c 7.195
_cell_angle_alpha 90.00
_cell_angle_beta 90.00
_cell_angle_gamma 90.00
_symmetry_space_group_name_H-M 'P 4 m m'
_symmetry_Int_Tables_number 99
loop_
_symmetry_equiv_pos_as_xyz
'x,y,z'
'-y,x,z'
'-x,-y,z'
'y,-x,z'
'-x,y,z'
'y,x,z'
'x,-y,z'
'-y,-x,z'
loop_
_atom_site_label
_atom_site_type_symbol
_atom_site_fract_x
_atom_site_fract_y
_atom_site_fract_z
Ru1 Ru 0.000 0.000 0.000
Ru2 Ru 0.500 0.500 0.256
W1 W 0.000 0.000 0.488
Br1 Br 0.500 0.500 0.748


Entry 17:
# Ce2ZrIn GGA-PBE optimized geometry
# - energy relative to the elements (kJ per mole of atoms) = -1
data_Ce2ZrIn
_chemical_formula_sum 'Ce6 Zr3 In3'
_cell_length_a 3.2396
_cell_length_b 3.2396
_cell_length_c 34.1843
_cell_angle_alpha 90.00
_cell_angle_beta 90.00
_cell_angle_gamma 120.00
_symmetry_space_group_name_H-M 'R -3 m'
_symmetry_Int_Tables_number 166
_symmetry_space_group_name_Hall '-R 3 2"'
loop_
_atom_site_label
_atom_site_type_symbol
_atom_site_fract_x
_atom_site_fract_y
_atom_site_fract_z
Ce1 Ce 0.0000 0.0000 0.2488
Zr1 Zr 0.0000 0.0000 0.5000
In1 In 0.0000 0.0000 0.0000


Entry 18:
# SiW5 GGA-PBE optimized geometry
# - formation energy without anion corrections (eV/atom) = 0.03
data_SiW5
_chemical_formula_sum 'Si2 W10'
_cell_length_a 9.855
_cell_length_b 3.181
_cell_length_c 6.294
_cell_angle_alpha 90.00
_cell_angle_beta 108.71
_cell_angle_gamma 90.00
_symmetry_space_group_name_H-M 'C 1 2/m 1'
_symmetry_Int_Tables_number 12
loop_
_symmetry_equiv_pos_as_xyz
'x,y,z'
'-x,-y,-z'
'-x,y,-z'
'x,-y,z'
'x+1/2,y+1/2,z'
'-x+1/2,-y+1/2,-z'
'-x+1/2,y+1/2,-z'
'x+1/2,-y+1/2,z'
loop_
_atom_site_label
_atom_site_type_symbol
_atom_site_fract_x
_atom_site_fract_y
_atom_site_fract_z
Si1 Si 0.000 0.000 0.000
W1 W 0.000 0.000 0.500
W2 W 0.166 0.500 0.331
W3 W 0.169 0.500 0.836


Entry 19:
# Na2Sr7Au2 GGA-PBE optimized geometry
# - energy relative to the elements (kJ per mole of atoms) = -24
data_Na2Sr7Au2
_chemical_formula_sum 'Na4 Sr14 Au4'
_cell_length_a 9.367
_cell_length_b 12.763
_cell_length_c 8.208
_cell_angle_alpha 90.00
_cell_angle_beta 90.00
_cell_angle_gamma 90.00
_symmetry_space_group_name_H-M 'C m m m'
_symmetry_Int_Tables_number 65
_symmetry_space_group_name_Hall '-C 2 2'
loop_
_atom_site_label
_atom_site_type_symbol
_atom_site_fract_x
_atom_site_fract_y
_atom_site_fract_z
Na1 Na 0.164 0.000 0.000
Sr1 Sr 0.000 0.000 0.500
Sr2 Sr 0.000 0.500 0.268
Sr3 Sr 0.250 0.250 0.254
Au1 Au 0.000 0.292 0.500


Entry 20:
# Tb4YRu2 GGA-PBE optimized geometry
# - energy relative to the elements (kJ per mole of atoms) = -22
data_Tb4YRu2
_chemical_formula_sum 'Tb8 Y2 Ru4'
_cell_length_a 7.802
_cell_length_b 6.377
_cell_length_c 7.909
_cell_angle_alpha 90.00
_cell_angle_beta 112.52
_cell_angle_gamma 90.00
_symmetry_space_group_name_H-M 'P 1 21/m 1'
_symmetry_Int_Tables_number 11
loop_
_symmetry_equiv_pos_as_xyz
'x,y,z'
'-x,-y,-z'
'-x,y+1/2,-z'
'x,-y+1/2,z'
loop_
_atom_site_label
_atom_site_type_symbol
_atom_site_fract_x
_atom_site_fract_y
_atom_site_fract_z
Tb1 Tb 0.123 0.250 0.479
Tb2 Tb 0.177 0.750 0.253
Tb3 Tb 0.258 0.501 0.914
Y1 Y 0.475 0.250 0.336
Ru1 Ru 0.086 0.250 0.125
Ru2 Ru 0.479 0.250 0.758


no.,VASP energy (eV/atom),total magnetic moment (μB per cell)
1,-4.04,0.0
2,-4.33,0.0
3,-8.67,0.0
4,-4.91,0.0
5,-4.71,0.0
6,-10.25,0.0
7,-5.96,5.6
8,-6.62,0.0
9,-2.37,0.0
10,-2.97,0.0
11,-9.04,0.0
12,-3.24,0.0
13,-3.31,0.0
14,-7.58,0.0
15,-6.82,23.7
16,-7.58,0.0
17,-5.80,1.4
18,-11.67,0.0
19,-2.15,0.0
20,-6.45,0.0